1 | Below is an optimized crystal structure of Ca2LaAg2, with properties calculated at the PBE level.

Cell: 3.720 5.451 14.549 Å, 90.00 97.33 90.00°
Fractional coordinates of all 10 atoms:
Ca 0.044 0.750 0.089
Ca 0.956 0.250 0.911
Ca 0.224 0.750 0.449
Ca 0.776 0.250 0.551
La 0.862 0.750 0.722
La 0.138 0.250 0.278
Ag 0.633 0.750 0.269
Ag 0.367 0.250 0.731
Ag 0.453 0.750 0.904
Ag 0.547 0.250 0.096

## Properties
Symmetry: P2_1/m (11)

=====

2 | Below is an optimized crystal structure of Ca2LaAg2, with properties calculated at the PBE level.

Cell: 4.893 5.922 11.765 Å, 111.57 90.00 90.00°
Fractional coordinates of all 10 atoms:
Ca 0.250 0.769 0.878
Ca 0.750 0.231 0.122
Ca 0.250 0.299 0.540
Ca 0.750 0.701 0.460
La 0.250 0.806 0.214
La 0.750 0.194 0.786
Ag 0.250 0.875 0.638
Ag 0.750 0.125 0.362
Ag 0.250 0.343 0.973
Ag 0.750 0.657 0.027

## Properties
Symmetry: P2_1/m (11)

=====

Which structure wins on stability? 1 wins.